# Na2Mg2InSnPd2

A relaxed structure of Na2Mg2InSnPd2 (PBE-GGA, OQMD via LeMat-Bulk).

extended XYZ file:
```
8
Lattice="-3.0056 -3.1036 2.0207 3.6747 -2.8230 1.1298 0.6500 3.2002 5.8822" Properties=species:S:1:pos:R:3 pbc="T T T"
Sn 0.6596 -1.3632 4.5163
Mg 0.3250 1.6001 2.9411
Pd 2.0022 -0.6000 2.0566
In 0.0000 0.0000 0.0000
Mg 0.3346 -2.9633 1.5752
Na -1.3411 -0.7556 2.4738
Na 2.3257 0.9925 4.9836
Pd -1.0176 0.8368 5.4008
```

Output
Mass density   5.87 g/cm3
Crystal system   tetragonal

=====

# Na2Mg2InSnPt2

A relaxed structure of Na2Mg2InSnPt2 (PBE-GGA, OQMD via LeMat-Bulk).

extended XYZ file:
```
8
Lattice="-2.4117 2.1937 3.4372 -1.8318 -4.1506 1.3637 5.1473 -0.8969 4.1841" Properties=species:S:1:pos:R:3 pbc="T T T"
Na 0.0710 0.8744 2.7565
Mg 2.5737 -0.4484 2.0920
Pt 2.6303 0.4284 4.8368
In 0.0000 0.0000 0.0000
Sn 0.4519 -1.4269 4.4925
Pt 0.3953 -2.3038 1.7477
Na 2.9546 -2.7497 3.8280
Mg -2.1217 -0.9785 2.4004
```

Output
Mass density   7.94 g/cm3
Crystal system   tetragonal
Spin magnetization   0.009 μB per formula unit

=====

| no. | raw total energy (Ry per atom) |
| --- | --- |
| 1 | -0.2336 |
| 2 | -0.2566 |